1.
Here is crystalline Cu2SiPb at its relaxed geometry from Alexandria via LeMat-Bulk. Energies are from PBE.

```
4
Lattice="4.862 0.001 0.000 1.101 4.736 0.000 -2.981 -2.368 3.023" Properties=species:S:1:pos:R:3 pbc="T T T"
Cu 0.000 0.000 0.000
Cu 2.981 2.368 0.000
Pb 0.550 2.368 1.512
Si 2.431 0.000 1.512
```

The calculation puts the density at 8.64 g/cm3. The space-group type is No. 139. As for the volume: 70 Å³ per cell. The density of states at the Fermi level comes out at 2.1 states/eV/cell. Its offset from the most stable computed form is 346 meV/atom. The raw formation energy is 42.5 kJ/mol of atoms.

***

2.
Here is crystalline CuSi2Pb at its relaxed geometry from Alexandria via LeMat-Bulk. Energies are from PBE.

```
4
Lattice="-1.733 1.393 3.167 -3.451 -0.893 -1.496 0.249 -4.536 2.131" Properties=species:S:1:pos:R:3 pbc="T T T"
Cu -0.742 -1.572 2.649
Pb -1.601 -2.714 0.317
Si 0.000 0.000 0.000
Si -2.592 0.250 0.836
```

The calculation puts the density at 7.23 g/cm3. The space-group type is No. 123. As for the volume: 75 Å³ per cell. The density of states at the Fermi level comes out at 1.1 states/eV/cell. The raw formation energy is 53.8 kJ/mol of atoms.

***

Please write out number 1 again, unchanged.
Here is crystalline Cu2SiPb at its relaxed geometry from Alexandria via LeMat-Bulk. Energies are from PBE.

```
4
Lattice="4.862 0.001 0.000 1.101 4.736 0.000 -2.981 -2.368 3.023" Properties=species:S:1:pos:R:3 pbc="T T T"
Cu 0.000 0.000 0.000
Cu 2.981 2.368 0.000
Pb 0.550 2.368 1.512
Si 2.431 0.000 1.512
```

The calculation puts the density at 8.64 g/cm3. The space-group type is No. 139. As for the volume: 70 Å³ per cell. The density of states at the Fermi level comes out at 2.1 states/eV/cell. Its offset from the most stable computed form is 346 meV/atom. The raw formation energy is 42.5 kJ/mol of atoms.